No. 1
Density functional theory data (GGA-PBE) for a relaxed Cd2Te crystal.

The structure in POSCAR format:
```
Cd2Te
1.0
4.2498 0.0000 0.0000
0.0000 4.2498 0.0000
0.0000 0.0000 6.0621
Cd Te
2 1
direct
0.0000 0.0000 0.0000
0.5000 0.5000 0.5000
0.0000 0.0000 0.5000
```

Output
Energy relative to the lowest polymorph listed for this composition = 0.274 eV per atom
Magnetization = 0.000 Bohr magnetons per cell
ΔE_f (raw) = 0.30 eV per formula unit
Fermi-level density of states = 0.91 states/eV per cell
SG = No. 123

=====

No. 2
Density functional theory data (GGA-PBE) for a relaxed Cd3Te crystal.

The structure in POSCAR format:
```
Cd3Te
1.0
3.1122 0.0000 0.0000
0.0000 4.0131 0.0000
0.0000 0.0000 8.3734
Cd Te
3 1
direct
0.0000 0.0000 0.0000
0.5000 0.5000 0.2248
0.5000 0.5000 0.7752
0.5000 0.0000 0.5000
```

Output
Energy relative to the lowest polymorph listed for this composition = 0.073 eV per atom
Magnetization = 0.000 Bohr magnetons per cell
ΔE_f (raw) = -0.11 eV per formula unit
Fermi-level density of states = 1.84 states/eV per cell
SG = No. 47

=====

No. 3
Density functional theory data (GGA-PBE) for a relaxed Cd3Te4 crystal.

The structure in POSCAR format:
```
Cd3Te4
1.0
-2.0647 2.0647 12.3767
2.0647 -2.0647 12.3767
2.0647 2.0647 -12.3767
Cd Te
3 4
direct
0.0000 0.0000 0.0000
0.2951 0.2951 0.0000
0.7049 0.7049 0.0000
0.1751 0.1751 0.0000
0.4422 0.4422 0.0000
0.5578 0.5578 0.0000
0.8249 0.8249 0.0000
```

Output
Energy relative to the lowest polymorph listed for this composition = 0.082 eV per atom
Magnetization = 0.000 Bohr magnetons per cell
ΔE_f (raw) = -0.62 eV per formula unit
Fermi-level density of states = 3.07 states/eV per cell
SG = No. 139

=====

No. 4
Density functional theory data (GGA-PBE) for a relaxed Cd3Te2 crystal.

The structure in POSCAR format:
```
Cd3Te2
1.0
0.0000 12.2943 1.6899
6.8847 0.0000 1.6899
6.8847 12.2943 0.0000
Cd Te
6 4
direct
0.0000 0.0000 0.0000
0.2500 0.2500 0.2500
0.3122 0.6852 0.5208
0.6852 0.3122 0.4817
0.7292 0.7683 0.9378
0.7683 0.7292 0.5648
0.0779 0.3243 0.0595
0.1905 0.7117 0.1721
0.3243 0.0779 0.5383
0.7117 0.1905 0.9257
```

Output
Magnetization = 0.000 Bohr magnetons per cell
ΔE_f (raw) = -0.28 eV per formula unit
Fermi-level density of states = 3.77 states/eV per cell
SG = No. 43

=====

No. 5
Density functional theory data (GGA-PBE) for a relaxed Cd3Te5 crystal.

The structure in POSCAR format:
```
Cd3Te5
1.0
4.0809 0.0000 0.0000
0.0000 4.0809 0.0000
0.0000 0.0000 14.5700
Cd Te
3 5
direct
0.0000 0.0000 0.0000
0.5000 0.5000 0.3573
0.5000 0.5000 0.6427
0.0000 0.0000 0.2901
0.0000 0.0000 0.5000
0.0000 0.0000 0.7099
0.5000 0.5000 0.0984
0.5000 0.5000 0.9016
```

Output
Energy relative to the lowest polymorph listed for this composition = 0.049 eV per atom
Magnetization = 0.000 Bohr magnetons per cell
ΔE_f (raw) = 0.31 eV per formula unit
Fermi-level density of states = 4.12 states/eV per cell
SG = No. 123

=====

No. 6
Density functional theory data (GGA-PBE) for a relaxed Cd2Te crystal.

The structure in POSCAR format:
```
Cd2Te
1.0
7.3948 0.0000 0.0000
-3.6974 6.4041 0.0000
0.0000 0.0000 6.2131
Cd Te
6 3
direct
0.0000 0.3878 0.1806
0.0000 0.6122 0.8194
0.3878 0.0000 0.1806
0.3878 0.3878 0.8194
0.6122 0.0000 0.8194
0.6122 0.6122 0.1806
0.0000 0.0000 0.0000
0.3333 0.6667 0.5000
0.6667 0.3333 0.5000
```

Output
Energy relative to the lowest polymorph listed for this composition = 0.058 eV per atom
Magnetization = 0.000 Bohr magnetons per cell
ΔE_f (raw) = -0.34 eV per formula unit
Fermi-level density of states = 2.03 states/eV per cell
SG = No. 162

=====

No. 7
Density functional theory data (GGA-PBE) for a relaxed CdTe4 crystal.

The structure in POSCAR format:
```
CdTe4
1.0
5.5559 0.0000 0.0000
0.0000 5.5559 0.0000
0.0000 0.0000 5.5559
Cd Te
1 4
direct
0.0000 0.0000 0.0000
0.0000 0.0000 0.5000
0.0000 0.5000 0.0000
0.5000 0.0000 0.0000
0.5000 0.5000 0.5000
```

Output
Energy relative to the lowest polymorph listed for this composition = 0.444 eV per atom
Magnetization = 0.000 Bohr magnetons per cell
ΔE_f (raw) = 2.87 eV per formula unit
Fermi-level density of states = 5.41 states/eV per cell
SG = No. 221

=====

No. 8
Density functional theory data (GGA-PBE) for a relaxed Cd3Te crystal.

The structure in POSCAR format:
```
Cd3Te
1.0
3.1240 -8.5503 0.0000
3.1240 8.5503 0.0000
0.0000 0.0000 4.0421
Cd Te
6 2
direct
0.1773 0.3086 0.7500
0.1876 0.8124 0.7500
0.3086 0.1773 0.2500
0.6914 0.8227 0.7500
0.8124 0.1876 0.2500
0.8227 0.6914 0.2500
0.3221 0.6779 0.2500
0.6779 0.3221 0.7500
```

Output
Energy relative to the lowest polymorph listed for this composition = 0.065 eV per atom
Magnetization = 0.000 Bohr magnetons per cell
ΔE_f (raw) = -0.15 eV per formula unit
Fermi-level density of states = 3.25 states/eV per cell
SG = No. 63

=====

> Which formula does entry 3 have?

Cd3Te4

=====

> Look up the magnetization of the fourth one.

0.000 Bohr magnetons per cell